Dy9HoTh2: relaxed, GGA-PBE.

N(E_F): 17.5 states/eV/cell
Energy above the most stable polymorph in this dataset: 0.000 eV/atom
Formation energy: 0.034 eV/atom
Electronic total energy: -60.43 eV/cell

abc: 5.0204 5.0204 15.0038
angles: 90.00 90.00 90.00
With the nearest neighbours (Å) after each atom.
Fractional positions:
Th (0.0000, 0.0000, 0.3342)  12 Dy 3.53-3.55
Th (0.0000, 0.0000, 0.6658)  12 Dy 3.53-3.55
Dy (0.0000, 0.5000, 0.1679)  8 Dy 3.52-3.56, 2 Th 3.54, 2 Ho 3.56
Dy (0.5000, 0.0000, 0.8321)  8 Dy 3.52-3.56, 2 Th 3.54, 2 Ho 3.56
Dy (0.5000, 0.5000, 0.0000)  4 Ho 3.55, 8 Dy 3.56
Dy (0.5000, 0.5000, 0.6673)  8 Dy 3.52-3.55, 4 Th 3.55
Dy (0.5000, 0.0000, 0.1679)  8 Dy 3.52-3.56, 2 Th 3.54, 2 Ho 3.56
Dy (0.0000, 0.5000, 0.5000)  4 Th 3.53, 8 Dy 3.55
Dy (0.5000, 0.5000, 0.3327)  8 Dy 3.52-3.55, 4 Th 3.55
Dy (0.5000, 0.0000, 0.5000)  4 Th 3.53, 8 Dy 3.55
Dy (0.0000, 0.5000, 0.8321)  8 Dy 3.52-3.56, 2 Th 3.54, 2 Ho 3.56
Ho (0.0000, 0.0000, 0.0000)  12 Dy 3.55-3.56